[1]
## Tm4CoPd (PBE)

Data for crystalline Tm4CoPd at its relaxed geometry.

abc: 7.552 7.552 7.552
angles: 106.22 106.22 116.19
Fractional coordinates of all 12 atoms:
Tm (0.167, 0.471, 0.696)
Tm (0.221, 0.025, 0.804)
Tm (0.221, 0.417, 0.196)
Tm (0.293, 0.000, 0.293)
Tm (0.707, 0.000, 0.707)
Tm (0.750, 0.543, 0.793)
Tm (0.750, 0.957, 0.207)
Tm (0.775, 0.471, 0.304)
Co (0.733, 0.233, 0.500)
Co (0.983, 0.983, 0.000)
Pd (0.240, 0.740, 0.500)
Pd (0.490, 0.490, 0.000)

Properties
spin magnetization = 0.00 μB/cell
energy relative to the lowest polymorph listed for this composition = 0.111 eV per atom
density of states at the Fermi level = 0.654 states/eV per atom
DFT total energy = -64.03 eV/cell

[2]
## K2ZnAuI (PBE)

Data for crystalline K2ZnAuI at its relaxed geometry.

abc: 6.306 6.306 5.044
angles: 90.00 90.00 90.00
Fractional coordinates of all 5 atoms:
K (0.000, 0.500, 0.000)
K (0.500, 0.000, 0.000)
Zn (0.000, 0.000, 0.500)
Au (0.000, 0.000, 0.000)
I (0.500, 0.500, 0.500)

Properties
spin magnetization = 0.00 μB/cell
density of states at the Fermi level = 0.184 states/eV per atom
DFT total energy = -11.09 eV/cell
raw formation energy = -0.56 eV/atom

[3]
## RbRe2Tc (PBE)

Data for crystalline RbRe2Tc at its relaxed geometry.

abc: 6.139 6.139 6.139
angles: 103.20 103.20 122.91
Fractional coordinates of all 8 atoms:
Rb (0.000, 0.000, 0.000)
Rb (0.750, 0.250, 0.500)
Re (0.193, 0.625, 0.068)
Re (0.375, 0.443, 0.568)
Re (0.557, 0.125, 0.932)
Re (0.875, 0.807, 0.432)
Tc (0.250, 0.750, 0.500)
Tc (0.500, 0.500, 0.000)

Properties
spin magnetization = 0.00 μB/cell
energy relative to the lowest polymorph listed for this composition = 0.023 eV per atom
density of states at the Fermi level = 1.160 states/eV per atom
DFT total energy = -56.69 eV/cell

[4]
## ZnFe2IrC (PBE)

Data for crystalline ZnFe2IrC at its relaxed geometry.

abc: 4.273 4.273 4.517
angles: 90.00 90.00 90.00
Fractional coordinates of all 5 atoms:
Zn (0.000, 0.000, 0.000)
Fe (0.000, 0.500, 0.000)
Fe (0.500, 0.000, 0.000)
Ir (0.000, 0.000, 0.500)
C (0.500, 0.500, 0.500)

Properties
spin magnetization = 0.52 μB/cell
energy relative to the lowest polymorph listed for this composition = 2.847 eV per atom
density of states at the Fermi level = 2.347 states/eV per atom
DFT total energy = -21.78 eV/cell

[5]
## Al2SiAs (PBE)

Data for crystalline Al2SiAs at its relaxed geometry.

abc: 6.955 6.955 6.955
angles: 130.62 130.62 72.42
Fractional coordinates of all 8 atoms:
Al (0.123, 0.625, 0.998)
Al (0.375, 0.373, 0.498)
Al (0.627, 0.125, 0.002)
Al (0.875, 0.877, 0.502)
Si (0.000, 0.000, 0.000)
Si (0.750, 0.250, 0.500)
As (0.250, 0.750, 0.500)
As (0.500, 0.500, 0.000)

Properties
spin magnetization = 0.00 μB/cell
energy relative to the lowest polymorph listed for this composition = 0.000 eV per atom
density of states at the Fermi level = 0.635 states/eV per atom
DFT total energy = -35.13 eV/cell
raw formation energy = 0.00 eV/atom

[6]
## Ho2Fe2Co15 (PBE)

Data for crystalline Ho2Fe2Co15 at its relaxed geometry.

abc: 6.261 6.261 6.261
angles: 83.06 83.06 83.06
Fractional coordinates of all 19 atoms:
Ho (0.155, 0.155, 0.155)
Ho (0.845, 0.845, 0.845)
Fe (0.402, 0.402, 0.402)
Fe (0.598, 0.598, 0.598)
Co (0.000, 0.500, 0.500)
Co (0.153, 0.153, 0.652)
Co (0.153, 0.652, 0.153)
Co (0.210, 0.500, 0.790)
Co (0.210, 0.790, 0.500)
Co (0.348, 0.847, 0.847)
Co (0.500, 0.000, 0.500)
Co (0.500, 0.210, 0.790)
Co (0.500, 0.500, 0.000)
Co (0.500, 0.790, 0.210)
Co (0.652, 0.153, 0.153)
Co (0.790, 0.210, 0.500)
Co (0.790, 0.500, 0.210)
Co (0.847, 0.348, 0.847)
Co (0.847, 0.847, 0.348)

Properties
spin magnetization = 26.78 μB/cell
density of states at the Fermi level = 1.005 states/eV per atom
DFT total energy = -134.91 eV/cell